(1)
This record from Alexandria describes an optimized crystal structure of PbC. The functional is PBEsol.

a = 3.6488 Å, b = 6.1140 Å, c = 6.3489 Å
α = 75.01°, β = 73.30°, γ = 72.64°
Last column: nearest neighbours and their distance in Å.
Sites, in units of the cell vectors:
C (0.2102, 0.9570, 0.6226)  1 C 1.32
C (0.2740, 0.5499, 0.9022)  1 C 1.33
C (0.2375, 0.7577, 0.7673)  2 C 1.32-1.33
Pb (0.6316, 0.5563, 0.1806)  2 C 2.49
Pb (0.9840, 0.3577, 0.6743)  3 C 2.42-2.66
Pb (0.8294, 0.9881, 0.3530)  2 C 2.44

Output
For the total magnetization, the calculation gives 0.00 μB/f.u. As for the formation energy from the elements: 0.8880 eV/atom. The crystal system is monoclinic.

(2)
This record from Alexandria describes an optimized crystal structure of KLiIn2As. The functional is PBEsol.

a = 5.6224 Å, b = 5.8320 Å, c = 5.8320 Å
α = 90.00°, β = 90.00°, γ = 90.00°
Last column: nearest neighbours and their distance in Å.
Sites, in units of the cell vectors:
As (0.5000, 0.0000, 0.0000)  2 K 2.81
Li (0.5000, 0.5000, 0.5000)  8 In 4.05, 4 As 4.12
K (0.0000, 0.0000, 0.0000)  2 As 2.81, 4 In 2.92
In (0.0000, 0.0000, 0.5000)  2 K 2.92
In (0.0000, 0.5000, 0.0000)  2 K 2.92

Output
For the total magnetization, the calculation gives 0.00 μB/f.u. As for the formation energy from the elements: 0.8150 eV/atom. The crystal system is tetragonal.

(3)
This record from Alexandria describes an optimized crystal structure of NaYSN2. The functional is PBEsol.

a = 4.1573 Å, b = 4.1573 Å, c = 4.6936 Å
α = 90.00°, β = 90.00°, γ = 90.00°
Last column: nearest neighbours and their distance in Å.
Sites, in units of the cell vectors:
Y (0.5000, 0.5000, 0.5000)  4 S 2.94, 8 N 3.13
Na (0.0000, 0.0000, 0.0000)  4 N 2.08
S (0.0000, 0.0000, 0.5000)  2 Na 2.35
N (0.0000, 0.5000, 0.0000)  2 Na 2.08
N (0.5000, 0.0000, 0.0000)  2 Na 2.08

Output
For the total magnetization, the calculation gives 3.95 μB/f.u. Its raw formation energy is 0.81 eV/atom. The crystal system is tetragonal.

(4)
This record from Alexandria describes an optimized crystal structure of Fe3ReBi. The functional is PBEsol.

a = 4.5046 Å, b = 4.5046 Å, c = 4.5046 Å
α = 90.00°, β = 90.00°, γ = 90.00°
Last column: nearest neighbours and their distance in Å.
Sites, in units of the cell vectors:
Re (0.0000, 0.0000, 0.0000)  6 Fe 2.25
Bi (0.5000, 0.5000, 0.5000)  12 Fe 3.19
Fe (0.0000, 0.5000, 0.0000)  2 Re 2.25
Fe (0.0000, 0.0000, 0.5000)  2 Re 2.25
Fe (0.5000, 0.0000, 0.0000)  2 Re 2.25

Output
For the total magnetization, the calculation gives 4.97 μB/f.u. As for the formation energy from the elements: 1.3665 eV/atom. The crystal system is cubic.

(5)
This record from Alexandria describes an optimized crystal structure of NbZn3As. The functional is PBEsol.

a = 4.8827 Å, b = 4.8827 Å, c = 4.8827 Å
α = 90.00°, β = 90.00°, γ = 90.00°
Last column: nearest neighbours and their distance in Å.
Sites, in units of the cell vectors:
Zn (0.0000, 0.5000, 0.0000)  2 Nb 2.44
Zn (0.0000, 0.0000, 0.5000)  2 Nb 2.44
Zn (0.5000, 0.0000, 0.0000)  2 Nb 2.44
Nb (0.0000, 0.0000, 0.0000)  6 Zn 2.44
As (0.5000, 0.5000, 0.5000)  12 Zn 3.45

Output
For the total magnetization, the calculation gives 0.00 μB/f.u. As for the formation energy from the elements: 1.2840 eV/atom. The crystal system is cubic.

(6)
This record from Alexandria describes an optimized crystal structure of MnRe. The functional is PBEsol.

a = 3.3963 Å, b = 3.3963 Å, c = 3.3963 Å
α = 60.00°, β = 60.00°, γ = 60.00°
Last column: nearest neighbours and their distance in Å.
Sites, in units of the cell vectors:
Mn (0.0000, 0.0000, 0.0000)  6 Re 2.40
Re (0.5000, 0.5000, 0.5000)  6 Mn 2.40

Output
For the total magnetization, the calculation gives 0.00 μB/f.u. As for the formation energy from the elements: 1.1280 eV/atom. The crystal system is cubic.

(7)
This record from Alexandria describes an optimized crystal structure of SrTlSn3. The functional is PBEsol.

a = 5.6408 Å, b = 5.6408 Å, c = 5.6408 Å
α = 90.00°, β = 90.00°, γ = 90.00°
Last column: nearest neighbours and their distance in Å.
Sites, in units of the cell vectors:
Sr (0.5000, 0.5000, 0.5000)  12 Sn 3.99
Tl (0.0000, 0.0000, 0.0000)  6 Sn 2.82
Sn (0.0000, 0.5000, 0.0000)  2 Tl 2.82
Sn (0.0000, 0.0000, 0.5000)  2 Tl 2.82
Sn (0.5000, 0.0000, 0.0000)  2 Tl 2.82

Output
For the total magnetization, the calculation gives 0.00 μB/f.u. As for the formation energy from the elements: 0.2502 eV/atom. The crystal system is cubic.

(8)
This record from Alexandria describes an optimized crystal structure of Sr2BeW. The functional is PBEsol.

a = 4.6583 Å, b = 4.6583 Å, c = 5.3822 Å
α = 115.64°, β = 115.64°, γ = 90.00°
Last column: nearest neighbours and their distance in Å.
Sites, in units of the cell vectors:
Sr (0.0000, 0.0000, 0.0000)  4 Be 3.16, 4 Sr 3.16, 4 W 3.29
Sr (0.7500, 0.2500, 0.5000)  4 W 3.16, 4 Sr 3.16, 4 Be 3.29
W (0.5000, 0.5000, 0.0000)  4 Be 3.16, 8 Sr 3.16-3.29
Be (0.2500, 0.7500, 0.5000)  4 W 3.16, 8 Sr 3.16-3.29

Output
For the total magnetization, the calculation gives 1.75 μB/f.u. As for the formation energy from the elements: 1.3623 eV/atom. The crystal system is tetragonal.

(9)
This record from Alexandria describes an optimized crystal structure of Ni2PtRh. The functional is PBEsol.

a = 2.6555 Å, b = 4.3988 Å, c = 4.3988 Å
α = 105.78°, β = 90.00°, γ = 90.00°
Last column: nearest neighbours and their distance in Å.
Sites, in units of the cell vectors:
Ni (0.0000, 0.5000, 0.0000)  4 Pt 2.57, 4 Rh 2.57, 4 Ni 2.65-2.66
Ni (0.0000, 0.0000, 0.5000)  4 Rh 2.57, 4 Pt 2.57, 4 Ni 2.65-2.66
Rh (0.5000, 0.5000, 0.5000)  8 Ni 2.57, 2 Pt 2.65, 2 Rh 2.66
Pt (0.5000, 0.0000, 0.0000)  8 Ni 2.57, 2 Rh 2.65, 2 Pt 2.66

Output
For the total magnetization, the calculation gives 0.00 μB/f.u. As for the formation energy from the elements: -0.0054 eV/atom. The crystal system is orthorhombic.

(10)
This record from Alexandria describes an optimized crystal structure of LaWAu2. The functional is PBEsol.

a = 3.9289 Å, b = 4.7392 Å, c = 5.3328 Å
α = 116.38°, β = 111.62°, γ = 90.00°
Last column: nearest neighbours and their distance in Å.
Sites, in units of the cell vectors:
Au (0.7756, 0.7756, 0.5512)  2 W 2.77, 4 La 3.07-3.10
Au (0.2244, 0.2244, 0.4488)  2 W 2.77, 4 La 3.07-3.10
La (0.0000, 0.5000, 0.0000)  8 Au 3.07-3.10, 4 W 3.08
W (0.5000, 0.0000, 0.0000)  4 Au 2.77, 4 La 3.08

Output
For the total magnetization, the calculation gives 0.00 μB/f.u. As for the formation energy from the elements: 0.2821 eV/atom. The crystal system is orthorhombic.